# 1
The following is a DFT calculation (PBE-GGA) of Ta2Nb4Pt after structural relaxation.

Unit cell a=8.653 b=8.653 c=8.653 alpha=58.95 beta=139.28 gamma=139.28
Fractional positions:
Ta  0.821  0.161  0.661
Ta  0.179  0.839  0.339
Ta  0.500  0.661  0.839
Ta  0.500  0.339  0.161
Nb  0.812  0.811  0.311
Nb  0.188  0.499  0.999
Nb  0.500  0.311  0.499
Nb  0.500  0.999  0.811
Nb  0.500  0.001  0.189
Nb  0.500  0.689  0.501
Nb  0.812  0.501  0.001
Nb  0.188  0.189  0.689
Pt  0.000  0.250  0.250
Pt  0.000  0.750  0.750

Computed properties:
Magnetization ... 0.00 μB per cell
Final energy ... -9.734 eV per atom

---

# 2
The following is a DFT calculation (PBE-GGA) of NaNb3Pt after structural relaxation.

Unit cell a=4.594 b=4.594 c=4.594 alpha=90.00 beta=90.00 gamma=90.00
Fractional positions:
Na  0.000  0.000  0.000
Nb  0.000  0.500  0.000
Nb  0.000  0.000  0.500
Nb  0.500  0.000  0.000
Pt  0.500  0.500  0.500

Computed properties:
ΔE to the lowest computed polymorph ... 0.875 eV/atom
Magnetization ... 0.00 μB per cell

---

# 3
The following is a DFT calculation (PBE-GGA) of KTcHg2 after structural relaxation.

Unit cell a=5.203 b=5.203 c=5.203 alpha=60.00 beta=60.00 gamma=60.00
Fractional positions:
K  0.000  0.000  0.000
Hg  0.250  0.250  0.250
Hg  0.750  0.750  0.750
Tc  0.500  0.500  0.500

Computed properties:
ΔE to the lowest computed polymorph ... 0.232 eV/atom
Magnetization ... 3.16 μB per cell

---

# 4
The following is a DFT calculation (PBE-GGA) of CaSiP2 after structural relaxation.

Unit cell a=4.200 b=4.200 c=9.730 alpha=90.00 beta=90.00 gamma=120.00
Fractional positions:
Ca  0.667  0.333  0.250
Ca  0.333  0.667  0.750
Si  0.000  0.000  0.000
Si  0.000  0.000  0.500
P  0.667  0.333  0.934
P  0.333  0.667  0.434
P  0.333  0.667  0.066
P  0.667  0.333  0.566

Computed properties:
Formation energy from raw total energies ... -0.22 eV/atom
Magnetization ... 0.00 μB per cell

---

# 5
The following is a DFT calculation (PBE-GGA) of CeSmTe2O after structural relaxation.

Unit cell a=4.234 b=4.234 c=15.815 alpha=90.00 beta=90.00 gamma=90.00
Fractional positions:
Ce  0.500  0.000  0.571
Ce  0.000  0.500  0.429
Sm  0.500  0.000  0.129
Sm  0.000  0.500  0.871
Te  0.000  0.500  0.681
Te  0.000  0.500  0.086
Te  0.500  0.000  0.914
Te  0.500  0.000  0.319
O  0.000  0.000  0.500
O  0.500  0.500  0.500

Computed properties:
Formation energy from raw total energies ... -2.07 eV/atom
Magnetization ... 1.48 μB per cell

---

# 6
The following is a DFT calculation (PBE-GGA) of AgSn2Te2 after structural relaxation.

Unit cell a=6.000 b=6.000 c=6.053 alpha=60.29 beta=60.29 gamma=90.00
Fractional positions:
Te  0.750  0.250  0.500
Te  0.250  0.750  0.500
Sn  0.327  0.327  0.345
Sn  0.673  0.673  0.655
Ag  0.000  0.000  0.000

Computed properties:
Formation energy from raw total energies ... 0.06 eV/atom
ΔE to the lowest computed polymorph ... 0.026 eV/atom
Magnetization ... 0.00 μB per cell